(1)
Entry from Alexandria: a relaxed structure of CuSnN2 (PBE-GGA).

Cell lengths 6.172, 6.172, 6.172 Å; angles 31.00, 31.00, 31.00 degrees
Fractional positions:
Sn1 0.500 0.500 0.500
N1 0.897 0.897 0.897
N2 0.103 0.103 0.103
Cu1 0.000 0.000 0.000

Calculated values
- Total moment: 0.00 Bohr magnetons per cell
- E_form (uncorrected): 0.492 eV per atom

---

(2)
Entry from Alexandria: a relaxed structure of CuSnN3 (PBE-GGA).

Cell lengths 4.104, 4.104, 4.104 Å; angles 90.00, 90.00, 90.00 degrees
Fractional positions:
Cu1 0.500 0.500 0.500
N1 0.500 0.000 0.000
N2 0.000 0.000 0.500
N3 0.000 0.500 0.000
Sn1 0.000 0.000 0.000

Calculated values
- Total moment: 0.00 Bohr magnetons per cell
- E_form (uncorrected): 2.069 eV per atom

---

(3)
Entry from Alexandria: a relaxed structure of CuSn2N (PBE-GGA).

Cell lengths 5.750, 5.750, 6.413 Å; angles 63.36, 63.36, 90.00 degrees
Fractional positions:
Cu1 0.000 0.000 0.000
Cu2 0.750 0.250 0.500
N1 0.500 0.500 0.000
N2 0.250 0.750 0.500
Sn1 0.578 0.125 0.250
Sn2 0.172 0.625 0.250
Sn3 0.875 0.828 0.750
Sn4 0.375 0.422 0.750

Calculated values
- Total moment: 0.00 Bohr magnetons per cell
- E_form (uncorrected): 0.335 eV per atom

---

Q: Which value of E_form (uncorrected) does entry 3 give?
A: 0.335 eV per atom